# 1
The following is a PBE calculation of a geometry-optimized K7Cd2O2 structure, from Alexandria via LeMat-Bulk.

Unit cell a=7.2792 b=7.2792 c=8.0093 alpha=90.15 beta=90.15 gamma=66.35
Closest atoms and distances in Å follow each position.
Fractional positions:
K 0.0000 0.0000 0.0000  2 O 3.90, 12 K 3.99-4.28, 4 Cd 4.24
K 0.0008 0.5003 0.2053  2 O 2.72
K 0.4993 0.4993 0.8050  2 O 2.69
K 0.5003 0.0008 0.2053  2 O 2.72
K 0.4997 0.9992 0.7947  2 O 2.72
K 0.5007 0.5007 0.1950  2 O 2.69
K 0.9992 0.4997 0.7947  2 O 2.72
Cd 0.1738 0.8262 0.5000  1 Cd 2.77
Cd 0.8262 0.1738 0.5000  1 Cd 2.77
O 0.3203 0.3203 0.0001  6 K 2.69-2.72
O 0.6797 0.6797 0.9999  6 K 2.69-2.72

Properties
The calculation puts the magnetic moment at 0.000 μB/f.u. The formation energy (no corrections) comes out at -0.54 eV per atom. The uncorrected energy is -25.41 eV/cell. As for the space group: C2/m (12).

# 2
The following is a PBE calculation of a geometry-optimized KCd2O structure, from Alexandria via LeMat-Bulk.

Unit cell a=6.4238 b=6.4238 c=6.4238 alpha=99.97 beta=99.97 gamma=130.82
Closest atoms and distances in Å follow each position.
Fractional positions:
K 0.0000 0.0000 0.0000  2 O 2.67
K 0.7500 0.2500 0.5000  2 O 2.67
Cd 0.2211 0.1250 0.5961  2 O 2.52
Cd 0.3750 0.7789 0.9039  2 O 2.52
Cd 0.5289 0.6250 0.4039  2 O 2.52
Cd 0.8750 0.4711 0.0961  2 O 2.52
O 0.2500 0.7500 0.5000  4 Cd 2.52, 2 K 2.67
O 0.5000 0.5000 0.0000  4 Cd 2.52, 2 K 2.67

Properties
The calculation puts the magnetic moment at 0.000 μB/f.u. The formation energy (no corrections) comes out at -0.41 eV per atom. The uncorrected energy is -19.04 eV/cell. As for the space group: I-42d (122).

# 3
The following is a PBE calculation of a geometry-optimized K5CdO4 structure, from Alexandria via LeMat-Bulk.

Unit cell a=9.4459 b=9.4459 c=9.4459 alpha=158.71 beta=134.99 gamma=50.30
Closest atoms and distances in Å follow each position.
Fractional positions:
K 0.0000 0.0000 0.0000  4 O 2.72
K 0.1078 0.3351 0.7727  4 O 2.64-2.82
K 0.4376 0.6649 0.7727  4 O 2.64-2.82
K 0.5624 0.3351 0.2273  4 O 2.64-2.82
K 0.8922 0.6649 0.2273  4 O 2.64-2.82
Cd 0.5000 0.0000 0.5000  4 O 2.32
O 0.2705 0.7705 0.5000  6 K 2.64-2.67
O 0.2893 0.5000 0.7893  2 Cd 2.32
O 0.7107 0.5000 0.2107  2 Cd 2.32
O 0.7295 0.2295 0.5000  6 K 2.64-2.67

Properties
The calculation puts the magnetic moment at 0.864 μB/f.u. The formation energy (no corrections) comes out at -0.98 eV per atom. The uncorrected energy is -36.04 eV/cell. As for the space group: Immm (71).

# 4
The following is a PBE calculation of a geometry-optimized K3Cd4O4 structure, from Alexandria via LeMat-Bulk.

Unit cell a=8.0559 b=8.0559 c=8.0559 alpha=155.16 beta=111.01 gamma=74.57
Closest atoms and distances in Å follow each position.
Fractional positions:
K 0.0000 0.0000 0.0000  2 O 2.60
K 0.3882 0.8882 0.5000  1 K 2.87, 6 O 2.94-3.13
K 0.6118 0.1118 0.5000  1 K 2.87, 6 O 2.94-3.13
Cd 0.0172 0.3331 0.6841  3 O 2.25-2.46
Cd 0.3511 0.6669 0.6841  3 O 2.25-2.46
Cd 0.6489 0.3331 0.3159  3 O 2.25-2.46
Cd 0.9828 0.6669 0.3159  3 O 2.25-2.46
O 0.2027 0.2027 0.0000  4 Cd 2.46, 1 K 2.60
O 0.2611 0.5000 0.7611  2 Cd 2.25
O 0.7389 0.5000 0.2389  2 Cd 2.25
O 0.7973 0.7973 0.0000  4 Cd 2.46, 1 K 2.60

Properties
The calculation puts the magnetic moment at 0.000 μB/f.u. The formation energy (no corrections) comes out at -0.74 eV per atom. The uncorrected energy is -34.94 eV/cell. As for the space group: Immm (71).

# 5
The following is a PBE calculation of a geometry-optimized K14CdO structure, from Alexandria via LeMat-Bulk.

Unit cell a=11.8782 b=9.7534 c=9.7534 alpha=69.22 beta=90.00 gamma=90.00
Closest atoms and distances in Å follow each position.
Fractional positions:
K 0.0000 0.0000 0.0000  12 K 4.59-5.04
K 0.0000 0.4371 0.4371  8 K 4.40-4.80
K 0.0000 0.5165 0.9221  7 K 4.49-4.86
K 0.0000 0.9221 0.5165  7 K 4.49-4.86
K 0.2694 0.2217 0.2217  1 Cd 3.81
K 0.3028 0.2881 0.7089  3 K 4.08-4.40, 1 Cd 4.08
K 0.3028 0.7089 0.2881  3 K 4.08-4.40, 1 Cd 4.08
K 0.3221 0.8424 0.8424  1 O 2.42
K 0.5000 0.5090 0.9112  1 O 2.42
K 0.5000 0.9112 0.5090  1 O 2.42
K 0.6779 0.8424 0.8424  1 O 2.42
K 0.6972 0.2881 0.7089  3 K 4.08-4.40, 1 Cd 4.08
K 0.6972 0.7089 0.2881  3 K 4.08-4.40, 1 Cd 4.08
K 0.7306 0.2217 0.2217  1 Cd 3.81
Cd 0.5000 0.0563 0.0563  10 K 3.81-4.13
O 0.5000 0.7687 0.7687  4 K 2.42

Properties
The calculation puts the magnetic moment at 0.000 μB/f.u. The formation energy (no corrections) comes out at -0.14 eV per atom. The uncorrected energy is -23.47 eV/cell. As for the space group: Amm2 (38).

# 6
The following is a PBE calculation of a geometry-optimized K3Cd2O4 structure, from Alexandria via LeMat-Bulk.

Unit cell a=7.6424 b=7.6424 c=6.1922 alpha=90.31 beta=90.31 gamma=78.27
Closest atoms and distances in Å follow each position.
Fractional positions:
K 0.1031 0.8969 0.7500  6 O 2.74-2.92
K 0.2444 0.5361 0.4523  4 O 2.73-2.87
K 0.4639 0.7556 0.0477  4 O 2.73-2.87
K 0.5361 0.2444 0.9523  4 O 2.73-2.87
K 0.7556 0.4639 0.5477  4 O 2.73-2.87
K 0.8969 0.1031 0.2500  6 O 2.74-2.92
Cd 0.0933 0.3236 0.9018  4 O 2.18-2.28
Cd 0.3236 0.0933 0.4018  4 O 2.18-2.28
Cd 0.6764 0.9067 0.5982  4 O 2.18-2.28
Cd 0.9067 0.6764 0.0982  4 O 2.18-2.28
O 0.0841 0.2413 0.5644  2 Cd 2.18-2.19
O 0.1932 0.5655 0.9950  2 Cd 2.21-2.28
O 0.2413 0.0841 0.0644  2 Cd 2.18-2.19
O 0.4345 0.8068 0.5050  2 Cd 2.21-2.28
O 0.5655 0.1932 0.4950  2 Cd 2.21-2.28
O 0.7587 0.9159 0.9356  2 Cd 2.18-2.19
O 0.8068 0.4345 0.0050  2 Cd 2.21-2.28
O 0.9159 0.7587 0.4356  2 Cd 2.18-2.19

Properties
The calculation puts the magnetic moment at 1.068 μB/f.u. The formation energy (no corrections) comes out at -1.04 eV per atom. The uncorrected energy is -68.55 eV/cell. As for the space group: C2/c (15).

# 7
The following is a PBE calculation of a geometry-optimized K4CdO structure, from Alexandria via LeMat-Bulk.

Unit cell a=11.0554 b=11.0554 c=8.6979 alpha=90.00 beta=90.00 gamma=151.22
Closest atoms and distances in Å follow each position.
Fractional positions:
K 0.0188 0.9812 0.7500  1 O 2.48
K 0.1755 0.8245 0.0355  1 O 2.51
K 0.1755 0.8245 0.4645  1 O 2.51
K 0.4064 0.5936 0.7500  2 O 2.75
K 0.5936 0.4064 0.2500  2 O 2.75
K 0.8245 0.1755 0.5355  1 O 2.51
K 0.8245 0.1755 0.9645  1 O 2.51
K 0.9812 0.0188 0.2500  1 O 2.48
Cd 0.3527 0.6473 0.2500  6 K 3.75-3.89
Cd 0.6473 0.3527 0.7500  6 K 3.75-3.89
O 0.0968 0.9032 0.2500  5 K 2.48-2.75
O 0.9032 0.0968 0.7500  5 K 2.48-2.75

Properties
The calculation puts the magnetic moment at 0.000 μB/f.u. The formation energy (no corrections) comes out at -0.46 eV per atom. The uncorrected energy is -26.05 eV/cell. As for the space group: Cmcm (63).

# 8
The following is a PBE calculation of a geometry-optimized K8Cd2O structure, from Alexandria via LeMat-Bulk.

Unit cell a=9.1728 b=9.1728 c=7.3553 alpha=106.77 beta=106.77 gamma=71.85
Closest atoms and distances in Å follow each position.
Fractional positions:
K 0.0925 0.0925 0.2970  3 Cd 3.77-3.96
K 0.2104 0.5606 0.2636  1 O 2.71
K 0.3857 0.3857 0.7003  1 O 2.61
K 0.4394 0.7896 0.7364  1 O 2.71
K 0.5606 0.2104 0.2636  1 O 2.71
K 0.6143 0.6143 0.2997  1 O 2.61
K 0.7896 0.4394 0.7364  1 O 2.71
K 0.9074 0.9074 0.7030  3 Cd 3.77-3.96
Cd 0.1788 0.1788 0.8729  8 K 3.67-3.96
Cd 0.8212 0.8212 0.1271  8 K 3.67-3.96
O 0.5000 0.5000 0.5000  6 K 2.61-2.71

Properties
The calculation puts the magnetic moment at 0.000 μB/f.u. The formation energy (no corrections) comes out at -0.28 eV per atom. The uncorrected energy is -18.61 eV/cell. As for the space group: C2/m (12).

# 9
The following is a PBE calculation of a geometry-optimized KCdO3 structure, from Alexandria via LeMat-Bulk.

Unit cell a=4.2382 b=4.2382 c=4.2382 alpha=90.00 beta=90.00 gamma=90.00
Closest atoms and distances in Å follow each position.
Fractional positions:
K 0.0000 0.0000 0.0000  12 O 3.00
Cd 0.5000 0.5000 0.5000  6 O 2.12
O 0.0000 0.5000 0.5000  2 Cd 2.12
O 0.5000 0.0000 0.5000  2 Cd 2.12
O 0.5000 0.5000 0.0000  2 Cd 2.12

Properties
The calculation puts the magnetic moment at 2.067 μB/f.u. The formation energy (no corrections) comes out at -0.30 eV per atom. The uncorrected energy is -18.39 eV/cell. As for the space group: Pm-3m (221).

# 10
The following is a PBE calculation of a geometry-optimized KCd2OsO6 structure, from Alexandria via LeMat-Bulk.

Unit cell a=5.9532 b=5.9174 c=10.3101 alpha=90.00 beta=124.51 gamma=90.00
Closest atoms and distances in Å follow each position.
Fractional positions:
K 0.0000 0.0000 0.0000  4 O 2.59-2.76
K 0.0000 0.5000 0.5000  4 O 2.59-2.76
Cd 0.1863 0.0211 0.7194  4 O 2.21-2.32
Cd 0.1863 0.4789 0.2194  4 O 2.21-2.32
Cd 0.8137 0.5211 0.7806  4 O 2.21-2.32
Cd 0.8137 0.9789 0.2806  4 O 2.21-2.32
Os 0.5000 0.0000 0.5000  6 O 1.84-1.97
Os 0.5000 0.5000 0.0000  6 O 1.84-1.97
O 0.1920 0.1330 0.3027  1 Os 1.97
O 0.1920 0.3670 0.8027  1 Os 1.97
O 0.2408 0.6185 0.0364  1 Os 1.92
O 0.2408 0.8815 0.5364  1 Os 1.92
O 0.4771 0.7395 0.3953  1 Os 1.84
O 0.4771 0.7605 0.8953  1 Os 1.84
O 0.5229 0.2395 0.1047  1 Os 1.84
O 0.5229 0.2605 0.6047  1 Os 1.84
O 0.7592 0.1185 0.4636  1 Os 1.92
O 0.7592 0.3815 0.9636  1 Os 1.92
O 0.8080 0.6330 0.1973  1 Os 1.97
O 0.8080 0.8670 0.6973  1 Os 1.97

Properties
The calculation puts the magnetic moment at 0.922 μB/f.u. The formation energy (no corrections) comes out at -1.09 eV per atom. The uncorrected energy is -109.59 eV/cell. As for the space group: P2_1/c (14).